First-principles (PBE) data for a relaxed structure of SrSm2Pt, as listed in Alexandria via LeMat-Bulk.

Output
Magnetization ... 0.0 Bohr magnetons per cell
DOS(E_F) ... 1.120 states/eV per atom
Space group ... R-3m (166)
DFT total energy ... -4.808 eV per atom

a b c (Å): 10.0979 10.0979 10.0979
angles (deg): 24.13 24.13 24.13
Closest atoms and distances in Å follow each position.
Sites, in units of the cell vectors:
Sr 0.0000 0.0000 0.0000  6 Sm 4.19, 6 Sr 4.22
Sm 0.2175 0.2175 0.2175  3 Pt 2.86
Sm 0.7825 0.7825 0.7825  3 Pt 2.86
Pt 0.5000 0.5000 0.5000  6 Sm 2.86